VASP calculation (PBE) on a geometry-optimized AgP2S structure.

Values from the calculation:
* excess energy over the best structure of this formula in the dataset: 0.0 meV/atom
* formation energy (no corrections): 534 meV/atom
* volume: 171.5 Å³/cell
* symmetry: I-42d, No. 122

Unit cell a=5.404 b=5.404 c=7.005 alpha=67.31 beta=67.31 gamma=90.00
Fractional positions:
S1 0.250 0.750 0.500
Ag1 0.000 0.000 0.000
Ag2 0.750 0.250 0.500
P1 0.146 0.625 0.250
P2 0.875 0.854 0.750
P3 0.604 0.125 0.250
P4 0.375 0.396 0.750
S2 0.500 0.500 0.000


VASP calculation (PBE) on a geometry-optimized AgP2S structure.

Values from the calculation:
* excess energy over the best structure of this formula in the dataset: 296.8 meV/atom
* formation energy (no corrections): 831 meV/atom
* volume: 64.9 Å³/cell
* symmetry: Fm-3m, No. 225

Unit cell a=4.512 b=4.512 c=4.512 alpha=60.00 beta=60.00 gamma=60.00
Fractional positions:
S1 0.000 0.000 0.000
Ag1 0.500 0.500 0.500
P1 0.750 0.750 0.750
P2 0.250 0.250 0.250


VASP calculation (PBE) on a geometry-optimized Ag2PS3 structure.

Values from the calculation:
* excess energy over the best structure of this formula in the dataset: 8.6 meV/atom
* formation energy (no corrections): -164 meV/atom
* volume: 1022.7 Å³/cell
* symmetry: P2_12_12_1, No. 19

Unit cell a=6.348 b=11.180 c=14.410 alpha=90.00 beta=90.00 gamma=90.00
Fractional positions:
Ag1 0.205 0.791 0.879
S1 0.239 0.691 0.292
P1 0.893 0.969 0.700
S2 0.821 0.467 0.737
P2 0.107 0.469 0.800
S3 0.842 0.986 0.983
S4 0.222 0.384 0.255
S5 0.739 0.809 0.708
Ag2 0.044 0.690 0.613
S6 0.179 0.967 0.763
S7 0.879 0.363 0.006
P3 0.556 0.997 0.043
S8 0.761 0.191 0.208
S9 0.321 0.033 0.263
P4 0.393 0.531 0.300
S10 0.100 0.166 0.536
Ag3 0.436 0.860 0.602
S11 0.658 0.014 0.483
Ag4 0.936 0.640 0.398
S12 0.778 0.884 0.245
Ag5 0.564 0.360 0.898
S13 0.722 0.116 0.745
Ag6 0.795 0.291 0.621
Ag7 0.544 0.810 0.387
Ag8 0.956 0.190 0.887
S14 0.261 0.309 0.792
S15 0.600 0.334 0.464
S16 0.679 0.533 0.237
P5 0.944 0.003 0.543
Ag9 0.398 0.123 0.646
S17 0.121 0.863 0.494
P6 0.056 0.503 0.957
S18 0.900 0.666 0.964
Ag10 0.898 0.377 0.354
Ag11 0.602 0.623 0.854
Ag12 0.295 0.209 0.379
Ag13 0.705 0.709 0.121
S19 0.158 0.486 0.517
P7 0.607 0.031 0.200
S20 0.342 0.514 0.017
S21 0.379 0.137 0.994
Ag14 0.064 0.140 0.102
Ag15 0.456 0.310 0.113
S22 0.278 0.616 0.755
S23 0.621 0.637 0.506
P8 0.444 0.497 0.457
Ag16 0.102 0.877 0.146
S24 0.400 0.834 0.036


VASP calculation (PBE) on a geometry-optimized Ag8PS6 structure.

Values from the calculation:
* formation energy (no corrections): -32 meV/atom
* volume: 617.7 Å³/cell
* symmetry: Pmn2_1, No. 31

Unit cell a=7.583 b=7.617 c=10.694 alpha=90.00 beta=90.00 gamma=90.00
Fractional positions:
Ag1 0.469 0.794 0.733
Ag2 0.376 0.000 0.966
Ag3 0.161 0.710 0.347
S1 0.003 0.500 0.844
S2 0.748 0.227 0.592
Ag4 0.902 0.202 0.138
Ag5 0.624 0.500 0.466
Ag6 0.469 0.206 0.733
S3 0.519 0.000 0.360
Ag7 0.098 0.702 0.638
S4 0.802 0.500 0.252
S5 0.252 0.727 0.092
Ag8 0.531 0.294 0.233
P1 0.750 0.000 0.475
Ag9 0.839 0.210 0.847
Ag10 0.531 0.706 0.233
S6 0.714 0.000 0.998
S7 0.997 0.000 0.344
P2 0.250 0.500 0.975
Ag11 0.721 0.500 0.022
Ag12 0.902 0.798 0.138
S8 0.481 0.500 0.860
Ag13 0.279 0.000 0.522
S9 0.286 0.500 0.498
Ag14 0.098 0.298 0.638
S10 0.748 0.773 0.592
Ag15 0.839 0.790 0.847
S11 0.198 0.000 0.752
S12 0.252 0.273 0.092
Ag16 0.161 0.290 0.347


VASP calculation (PBE) on a geometry-optimized AgPS3 structure.

Values from the calculation:
* excess energy over the best structure of this formula in the dataset: 0.0 meV/atom
* formation energy (no corrections): -159 meV/atom
* volume: 247.3 Å³/cell
* symmetry: C2/m, No. 12

Unit cell a=6.586 b=6.586 c=7.627 alpha=60.94 beta=60.94 gamma=66.83
Fractional positions:
Ag1 0.745 0.255 0.000
P1 0.355 0.355 0.708
Ag2 0.255 0.745 0.000
S1 0.285 0.715 0.500
P2 0.645 0.645 0.292
S2 0.326 0.326 0.995
S3 0.715 0.285 0.500
S4 0.674 0.674 0.005
S5 0.168 0.168 0.717
S6 0.832 0.832 0.283


VASP calculation (PBE) on a geometry-optimized AgPS3 structure.

Values from the calculation:
* excess energy over the best structure of this formula in the dataset: 45.9 meV/atom
* formation energy (no corrections): -113 meV/atom
* volume: 298.2 Å³/cell
* symmetry: P-1, No. 2

Unit cell a=5.955 b=7.162 c=7.163 alpha=84.31 beta=98.22 gamma=98.37
Fractional positions:
S1 0.913 0.283 0.539
S2 0.333 0.057 0.826
Ag1 0.947 0.561 0.817
S3 0.843 0.329 0.072
P1 0.088 0.349 0.293
S4 0.843 0.815 0.585
S5 0.333 0.571 0.312
Ag2 0.228 0.825 0.081
P2 0.088 0.037 0.605
S6 0.263 0.103 0.358


VASP calculation (PBE) on a geometry-optimized AgPS4 structure.

Values from the calculation:
* formation energy (no corrections): 378 meV/atom
* volume: 289.8 Å³/cell
* symmetry: F-43m, No. 216

Unit cell a=7.428 b=7.428 c=7.428 alpha=60.00 beta=60.00 gamma=60.00
Fractional positions:
S1 0.611 0.611 0.167
S2 0.611 0.611 0.611
S3 0.167 0.611 0.611
P1 0.500 0.500 0.500
S4 0.611 0.167 0.611
Ag1 0.750 0.750 0.750


VASP calculation (PBE) on a geometry-optimized AgPS3 structure.

Values from the calculation:
* excess energy over the best structure of this formula in the dataset: 154.5 meV/atom
* formation energy (no corrections): -5 meV/atom
* volume: 295.4 Å³/cell
* symmetry: Imma, No. 74

Unit cell a=7.819 b=7.819 c=7.819 alpha=129.52 beta=78.57 gamma=124.19
Fractional positions:
S1 0.560 0.231 0.329
S2 0.903 0.731 0.171
P1 0.994 0.482 0.013
P2 0.469 0.982 0.987
S3 0.903 0.232 0.671
Ag1 0.731 0.731 0.500
S4 0.153 0.482 0.171
Ag2 0.231 0.231 0.500
S5 0.560 0.732 0.829
S6 0.311 0.982 0.829